Entry 1:
## HfV2B (PBE)

Data for a relaxed HfV2B crystal.

Structure (POSCAR):
```
HfV2B
1.0
-5.8415 3.6512 0.7341
-0.1685 -1.6232 6.7328
-1.7351 2.9458 4.2309
B Hf V
2 2 4
direct
0.5000 0.5000 0.0000
0.2500 0.7500 0.5000
0.0000 0.0000 0.0000
0.7500 0.2500 0.5000
0.5525 0.1250 0.2500
0.1975 0.6250 0.2500
0.3750 0.4475 0.7500
0.8750 0.8025 0.7500
```

Summary:
Total energy, eV/atom: -8.5183
N(E_F), states/eV/f.u.: 5.3
Space-group type: No. 122

---

Entry 2:
## Hf3VB (PBE)

Data for a relaxed Hf3VB crystal.

Structure (POSCAR):
```
Hf3VB
1.0
-0.6986 -1.6832 -4.1968
2.8274 -3.4767 0.9237
-3.5288 -2.4524 1.5710
B Hf V
1 3 1
direct
0.0000 0.0000 0.0000
0.0000 0.5000 0.0000
0.0000 0.0000 0.5000
0.5000 0.0000 0.0000
0.5000 0.5000 0.5000
```

Summary:
Total energy, eV/atom: -9.0171
N(E_F), states/eV/f.u.: 6.9
Space-group type: No. 221
Distance to the lowest polymorph of the same formula, meV/atom: 0

---

Entry 3:
## HfVB (PBE)

Data for a relaxed HfVB crystal.

Structure (POSCAR):
```
HfVB
1.0
-2.0292 -0.1393 -2.6461
1.8286 -3.0617 -3.3460
-2.9412 -4.6952 0.3978
Hf V B
2 2 2
direct
0.9190 0.8338 0.3282
0.0810 0.1662 0.6718
0.2996 0.3136 0.0873
0.7004 0.6864 0.9127
0.6141 0.4203 0.3515
0.3859 0.5797 0.6485
```

Summary:
Total energy, eV/atom: -9.0520
N(E_F), states/eV/f.u.: 2.8
Space-group type: No. 12
Distance to the lowest polymorph of the same formula, meV/atom: 0

---

Entry 4:
## HfVB4 (PBE)

Data for a relaxed HfVB4 crystal.

Structure (POSCAR):
```
HfVB4
1.0
3.3207 0.0000 0.0000
0.0000 5.8576 0.0000
0.0000 0.0000 11.3106
Hf V B
4 4 16
direct
0.0000 0.6263 0.3503
0.0000 0.3737 0.6497
0.0000 0.1263 0.1497
0.0000 0.8737 0.8503
0.0000 0.6308 0.0851
0.0000 0.3692 0.9149
0.0000 0.1308 0.4149
0.0000 0.8692 0.5851
0.5000 0.7920 0.1877
0.5000 0.2080 0.8123
0.5000 0.2920 0.3123
0.5000 0.7080 0.6877
0.5000 0.8692 0.0328
0.5000 0.1308 0.9672
0.5000 0.3692 0.4672
0.5000 0.6308 0.5328
0.5000 0.8830 0.4513
0.5000 0.1170 0.5487
0.5000 0.3830 0.0487
0.5000 0.6170 0.9513
0.5000 0.9785 0.3046
0.5000 0.0215 0.6954
0.5000 0.4785 0.1954
0.5000 0.5215 0.8046
```

Summary:
Total energy, eV/atom: -8.3957
N(E_F), states/eV/f.u.: 1.8
Space-group type: No. 55

---

Q: What is the N(E_F) in the fourth record?
A: 1.8 states/eV/f.u.

---

What did the third record say?
## HfVB (PBE)

Data for a relaxed HfVB crystal.

Structure (POSCAR):
```
HfVB
1.0
-2.0292 -0.1393 -2.6461
1.8286 -3.0617 -3.3460
-2.9412 -4.6952 0.3978
Hf V B
2 2 2
direct
0.9190 0.8338 0.3282
0.0810 0.1662 0.6718
0.2996 0.3136 0.0873
0.7004 0.6864 0.9127
0.6141 0.4203 0.3515
0.3859 0.5797 0.6485
```

Summary:
Total energy, eV/atom: -9.0520
N(E_F), states/eV/f.u.: 2.8
Space-group type: No. 12
Distance to the lowest polymorph of the same formula, meV/atom: 0